Entry 1:
A relaxed structure of Si2TcOs, computed with GGA-PBE.

Computed properties:
D(E_F) ... 1.99 states/eV/cell
Polymorph energy (0 for the lowest one) ... 0 meV/atom
Magnetic moment ... 0.000 μB/atom
Calculated density ... 11.0 Mg/m³
Raw formation energy ... -414 meV per atom

Cell lengths 4.1867, 4.1867, 4.1867 Å; angles 60.00, 60.00, 60.00 degrees
Closest atoms and distances in Å follow each position.
Atoms (fractional coordinates):
Tc 0.0000 0.0000 0.0000  8 Si 2.56
Si 0.7500 0.7500 0.7500  4 Tc 2.56, 4 Os 2.56
Os 0.5000 0.5000 0.5000  8 Si 2.56
Si 0.2500 0.2500 0.2500  4 Os 2.56, 4 Tc 2.56

---

Entry 2:
A relaxed structure of Ba3TlH2, computed with GGA-PBE.

Computed properties:
D(E_F) ... 12.00 states/eV/cell
Magnetic moment ... 0.086 μB/atom
Calculated density ... 5.0 Mg/m³
Raw total energy ... -2.840 eV per atom

Cell lengths 5.8951, 8.5428, 8.5428 Å; angles 106.00, 90.00, 90.00 degrees
Closest atoms and distances in Å follow each position.
Atoms (fractional coordinates):
H 0.5000 0.1570 0.1570  4 Ba 2.60-2.61
H 0.5000 0.8430 0.8430  4 Ba 2.60-2.61
Ba 0.7500 0.1796 0.4132  2 H 2.60
Ba 0.2500 0.8957 0.1043  4 H 2.61
Ba 0.7500 0.5868 0.8204  2 H 2.60
Ba 0.2500 0.8204 0.5868  2 H 2.60
Tl 0.7500 0.7044 0.2956  8 Ba 3.81-3.94
H 0.0000 0.1570 0.1570  4 Ba 2.60-2.61
H 0.0000 0.8430 0.8430  4 Ba 2.60-2.61
Ba 0.2500 0.4132 0.1796  2 H 2.60
Tl 0.2500 0.2956 0.7044  8 Ba 3.81-3.94
Ba 0.7500 0.1043 0.8957  4 H 2.61

---

Entry 3:
A relaxed structure of TcSe2I, computed with GGA-PBE.

Computed properties:
D(E_F) ... 8.00 states/eV/cell
Polymorph energy (0 for the lowest one) ... 1203 meV/atom
Magnetic moment ... 0.479 μB/atom
Calculated density ... 7.6 Mg/m³
Raw formation energy ... 994 meV per atom

Cell lengths 7.0846, 7.0846, 6.0106 Å; angles 53.89, 53.89, 90.00 degrees
Closest atoms and distances in Å follow each position.
Atoms (fractional coordinates):
Tc 0.2500 0.2500 0.5000  8 Se 3.01, 2 Tc 3.32
I 0.2500 0.7500 0.5000  8 Se 3.01, 2 I 3.32
I 0.7500 0.2500 0.5000  8 Se 3.01, 2 I 3.32
Se 0.2500 0.2500 0.0000  4 I 3.01, 4 Tc 3.01, 2 Se 3.32
Se 0.2500 0.7500 0.0000  4 I 3.01, 4 Tc 3.01, 2 Se 3.32
Se 0.7500 0.7500 0.0000  4 I 3.01, 4 Tc 3.01, 2 Se 3.32
Se 0.7500 0.2500 0.0000  4 I 3.01, 4 Tc 3.01, 2 Se 3.32
Tc 0.7500 0.7500 0.5000  8 Se 3.01, 2 Tc 3.32

---

Entry 4:
A relaxed structure of MgMnHgRh2, computed with GGA-PBE.

Computed properties:
D(E_F) ... 2.63 states/eV/cell
Polymorph energy (0 for the lowest one) ... 0 meV/atom
Energy of formation from the pure elements ... 1143 meV per atom
Magnetic moment ... 0.979 μB/atom
Calculated density ... 6.7 Mg/m³

Cell lengths 5.0100, 4.8236, 5.0100 Å; angles 90.00, 90.00, 90.00 degrees
Closest atoms and distances in Å follow each position.
Atoms (fractional coordinates):
Hg 0.0000 0.0000 0.0000  2 Mn 2.41, 4 Rh 2.50
Mg 0.5000 0.5000 0.5000  8 Rh 3.48, 4 Mn 3.54
Rh 0.5000 0.0000 0.0000  2 Hg 2.50
Rh 0.0000 0.0000 0.5000  2 Hg 2.50
Mn 0.0000 0.5000 0.0000  2 Hg 2.41

---

Entry 5:
A relaxed structure of Y3Rh, computed with GGA-PBE.

Computed properties:
D(E_F) ... 11.30 states/eV/cell
Energy of formation from the pure elements ... -208 meV per atom
Magnetic moment ... 0.000 μB/atom
Calculated density ... 6.0 Mg/m³

Cell lengths 7.1216, 7.1216, 4.6785 Å; angles 90.00, 90.00, 120.00 degrees
Closest atoms and distances in Å follow each position.
Atoms (fractional coordinates):
Y 0.1829 0.8171 0.7500  2 Rh 2.99, 6 Y 3.21-3.25
Y 0.3657 0.1829 0.2500  2 Rh 2.99, 6 Y 3.21-3.25
Rh 0.3333 0.6667 0.2500  6 Y 2.99
Y 0.1829 0.3657 0.7500  2 Rh 2.99, 6 Y 3.21-3.25
Y 0.6343 0.8171 0.7500  2 Rh 2.99, 6 Y 3.21-3.25
Rh 0.6667 0.3333 0.7500  6 Y 2.99
Y 0.8171 0.6343 0.2500  2 Rh 2.99, 6 Y 3.21-3.25
Y 0.8171 0.1829 0.2500  2 Rh 2.99, 6 Y 3.21-3.25

---

Entry 6:
A relaxed structure of MgBiSb2Te, computed with GGA-PBE.

Computed properties:
D(E_F) ... 5.09 states/eV/cell
Polymorph energy (0 for the lowest one) ... 0 meV/atom
Magnetic moment ... 0.000 μB/atom
Calculated density ... 6.3 Mg/m³
Raw formation energy ... 412 meV per atom

Cell lengths 5.3787, 5.3787, 5.4674 Å; angles 90.00, 90.00, 90.00 degrees
Closest atoms and distances in Å follow each position.
Atoms (fractional coordinates):
Te 0.0000 0.0000 0.5000  2 Mg 2.73
Bi 0.5000 0.5000 0.5000  4 Te 3.80, 8 Sb 3.83
Sb 0.5000 0.0000 0.0000  2 Mg 2.69
Sb 0.0000 0.5000 0.0000  2 Mg 2.69
Mg 0.0000 0.0000 0.0000  4 Sb 2.69, 2 Te 2.73

---

Entry 7:
A relaxed structure of CdTe2MoOs, computed with GGA-PBE.

Computed properties:
D(E_F) ... 4.46 states/eV/cell
Magnetic moment ... 0.549 μB/atom
Calculated density ... 7.9 Mg/m³
Raw formation energy ... 1069 meV per atom

Cell lengths 5.2777, 4.9577, 5.2777 Å; angles 90.00, 90.00, 90.00 degrees
Closest atoms and distances in Å follow each position.
Atoms (fractional coordinates):
Cd 0.5000 0.5000 0.5000  8 Te 3.62, 4 Mo 3.73
Te 0.0000 0.0000 0.5000  2 Os 2.64
Mo 0.0000 0.5000 0.0000  2 Os 2.48
Os 0.0000 0.0000 0.0000  2 Mo 2.48, 4 Te 2.64
Te 0.5000 0.0000 0.0000  2 Os 2.64

---

Entry 8:
A relaxed structure of LaCdO3, computed with GGA-PBE.

Computed properties:
D(E_F) ... 2.71 states/eV/cell
Magnetic moment ... 0.000 μB/atom
Calculated density ... 5.7 Mg/m³
Raw formation energy ... -1283 meV per atom

Cell lengths 4.4388, 4.4388, 4.4388 Å; angles 90.00, 90.00, 90.00 degrees
Closest atoms and distances in Å follow each position.
Atoms (fractional coordinates):
La 0.0000 0.0000 0.0000  6 O 2.22
O 0.5000 0.0000 0.0000  2 La 2.22
O 0.0000 0.5000 0.0000  2 La 2.22
Cd 0.5000 0.5000 0.5000  12 O 3.14
O 0.0000 0.0000 0.5000  2 La 2.22

---

- Which value of magnetic moment does entry 1 give?
  0.000 μB/atom